[1]
Fe2HgPt: PBEsol geometry, meta-GGA SCAN.

Structure (POSCAR):
```
Fe2HgPt
1.0
3.867 0.000 0.000
0.000 3.871 0.000
0.000 0.000 3.871
Pt Fe Hg
1 2 1
direct
0.500 0.000 0.000
0.000 0.000 0.500
0.000 0.500 0.000
0.500 0.500 0.500
```

Results
Fermi-level density of states   2.4 states/eV/cell
Formation energy   0.0 eV/f.u.
SG   No. 123
Crystal system   tetragonal


[2]
TlCr2Cl: PBEsol geometry, meta-GGA SCAN.

Structure (POSCAR):
```
TlCr2Cl
1.0
3.129 0.000 0.000
0.000 4.939 0.126
0.000 -0.718 4.888
Tl Cr Cl
1 2 1
direct
0.500 0.000 0.000
0.000 0.000 0.500
0.000 0.500 0.000
0.500 0.500 0.500
```

Results
Fermi-level density of states   1.6 states/eV/cell
Excess energy over the best structure of this formula in the dataset   181 meV/atom
SG   No. 65
Crystal system   orthorhombic


[3]
Mg2MnSiP: PBEsol geometry, meta-GGA SCAN.

Structure (POSCAR):
```
Mg2MnSiP
1.0
-2.788 3.435 -0.837
-3.820 -2.694 1.667
0.771 1.742 4.582
Si Mg P Mn
1 2 1 1
direct
0.000 0.000 0.000
0.000 0.000 0.500
0.000 0.500 0.000
0.500 0.000 0.000
0.500 0.500 0.500
```

Results
Fermi-level density of states   2.4 states/eV/cell
SG   No. 123
Uncorrected energy   -9.116 eV per atom
Crystal system   tetragonal


[4]
RbNa2TiB: PBEsol geometry, meta-GGA SCAN.

Structure (POSCAR):
```
RbNa2TiB
1.0
5.261 0.000 0.000
0.000 5.261 0.000
0.000 0.000 5.738
Ti Na Rb B
1 2 1 1
direct
0.500 0.500 0.500
0.000 0.500 0.000
0.500 0.000 0.000
0.000 0.000 0.500
0.000 0.000 0.000
```

Results
Fermi-level density of states   2.1 states/eV/cell
Formation energy   6.6 eV/f.u.
SG   No. 123
Crystal system   tetragonal


[5]
Ta2GaCo3: PBEsol geometry, meta-GGA SCAN.

Structure (POSCAR):
```
Ta2GaCo3
1.0
-0.250 4.339 2.111
-0.118 -4.009 2.695
7.537 0.159 0.567
Co Ta Ga
6 4 2
direct
0.344 0.172 0.250
0.172 0.828 0.750
0.828 0.172 0.250
0.172 0.344 0.750
0.656 0.828 0.750
0.828 0.656 0.250
0.333 0.667 0.061
0.333 0.667 0.439
0.667 0.333 0.939
0.667 0.333 0.561
0.000 0.000 0.000
0.000 0.000 0.500
```

Results
Fermi-level density of states   12.7 states/eV/cell
Formation energy   -1.2 eV/f.u.
SG   No. 194
Crystal system   hexagonal


[6]
As2S3: PBEsol geometry, meta-GGA SCAN.

Structure (POSCAR):
```
As2S3
1.0
3.563 0.000 0.000
-1.781 6.499 0.052
0.000 -0.822 8.905
As S
4 6
direct
0.799 0.598 0.861
0.201 0.402 0.139
0.619 0.237 0.448
0.381 0.763 0.552
0.227 0.453 0.659
0.632 0.264 0.970
0.961 0.922 0.703
0.039 0.078 0.297
0.773 0.547 0.341
0.368 0.736 0.030
```

Results
SG   No. 12
Uncorrected energy   -13.978 eV per atom
Crystal system   monoclinic


V, respectively: 14.489 18.959 22.178 31.762 12.739 20.633 Å³/atom.
Ρ, respectively: 14.5 7.5 2.4 2.0 13.2 4.0 g cm⁻³.